[1]
This record from Alexandria via LeMat-Bulk describes a geometry-optimized K6In structure. The functional is PBE.

Results
Energy of formation from the pure elements   501 meV/atom

Unit cell a=10.9138 b=10.9138 c=10.9138 alpha=90.00 beta=90.00 gamma=90.00
Last column: nearest neighbours and their distance in Å.
Space group Im-3m (No. 229)
One atom of each set of equivalent atoms:
K  0.0000  0.2500  0.5000 [12 per cell]  4 K 3.86
In  0.0000  0.0000  0.0000 [2 per cell]  none within 6

[2]
This record from Alexandria via LeMat-Bulk describes a geometry-optimized Cs2HgBr6O structure. The functional is PBE.

Results
Uncorrected formation energy   -0.67 eV per atom

Unit cell a=7.6617 b=7.6617 c=11.5565 alpha=90.00 beta=90.00 gamma=90.00
Last column: nearest neighbours and their distance in Å.
Space group I4/mmm (No. 139)
One atom of each set of equivalent atoms:
Cs  0.0000  0.5000  0.2500 [4 per cell]  12 Br 3.85-3.98
Hg  0.0000  0.0000  0.0000 [2 per cell]  2 Br 2.51
Br  0.0000  0.0000  0.2174 [4 per cell]  1 Hg 2.51
Br  0.2134  0.2134  0.5000 [8 per cell]  1 O 2.31
O  0.0000  0.0000  0.5000 [2 per cell]  4 Br 2.31

[3]
This record from Alexandria via LeMat-Bulk describes a geometry-optimized ErSc2Pd structure. The functional is PBE.

Results
Relative energy among the computed polymorphs   0.307 eV/atom
Energy of formation from the pure elements   -154 meV/atom

Unit cell a=4.8178 b=4.8178 c=13.3293 alpha=90.00 beta=90.00 gamma=120.00
Last column: nearest neighbours and their distance in Å.
Space group R-3m (No. 166, hexagonal axes)
One atom of each set of equivalent atoms:
Er  0.0000  0.0000  0.0000 [3 per cell]  8 Sc 3.08-3.10
Sc  0.0000  0.0000  0.2311 [6 per cell]  3 Pd 2.91, 4 Er 3.08-3.10
Pd  0.0000  0.0000  0.5000 [3 per cell]  6 Sc 2.91

[4]
This record from Alexandria via LeMat-Bulk describes a geometry-optimized PmDy2F structure. The functional is PBE.

Results
Uncorrected formation energy   -0.88 eV per atom

Unit cell a=3.6264 b=3.6264 c=28.0885 alpha=90.00 beta=90.00 gamma=120.00
Last column: nearest neighbours and their distance in Å.
Space group R-3m (No. 166, hexagonal axes)
One atom of each set of equivalent atoms:
Pm  0.0000  0.0000  0.0000 [3 per cell]  2 Dy 3.33, 6 Pm 3.63
Dy  0.0000  0.0000  0.1187 [6 per cell]  3 F 2.49
F  0.0000  0.0000  0.5000 [3 per cell]  6 Dy 2.49

[5]
This record from Alexandria via LeMat-Bulk describes a geometry-optimized LaCrAg4 structure. The functional is PBE.

Results
Energy of formation from the pure elements   57 meV/atom

Unit cell a=7.9800 b=7.9800 c=7.9800 alpha=90.00 beta=90.00 gamma=90.00
Last column: nearest neighbours and their distance in Å.
Space group F-43m (No. 216)
One atom of each set of equivalent atoms:
La  0.0000  0.0000  0.0000 [4 per cell]  12 Ag 3.31, 4 Cr 3.46
Cr  0.2500  0.2500  0.2500 [4 per cell]  12 Ag 3.31, 4 La 3.46
Ag  0.1240  0.1240  0.6240 [16 per cell]  6 Ag 2.80-2.84

[6]
This record from Alexandria via LeMat-Bulk describes a geometry-optimized LiIn2Ag structure. The functional is PBE.

Results
Energy of formation from the pure elements   -137 meV/atom

Unit cell a=6.0855 b=8.4725 c=3.2315 alpha=90.00 beta=90.00 gamma=90.00
Last column: nearest neighbours and their distance in Å.
Space group Cmmm (No. 65)
One atom of each set of equivalent atoms:
Li  0.0000  0.0000  0.0000 [2 per cell]  2 Ag 3.04, 8 In 3.07, 2 Li 3.23
In  0.2500  0.2500  0.5000 [4 per cell]  4 In 3.04-3.23, 4 Li 3.07, 4 Ag 3.07
Ag  0.0000  0.5000  0.0000 [2 per cell]  2 Li 3.04, 8 In 3.07, 2 Ag 3.23

[7]
This record from Alexandria via LeMat-Bulk describes a geometry-optimized AcAg4Au structure. The functional is PBE.

Results
Relative energy among the computed polymorphs   0.000 eV/atom
Energy of formation from the pure elements   -229 meV/atom

Unit cell a=8.0286 b=8.0286 c=8.0286 alpha=90.00 beta=90.00 gamma=90.00
Last column: nearest neighbours and their distance in Å.
Space group F-43m (No. 216)
One atom of each set of equivalent atoms:
Ac  0.0000  0.0000  0.0000 [4 per cell]  12 Ag 3.33, 4 Au 3.48
Ag  0.1239  0.1239  0.6239 [16 per cell]  6 Ag 2.81-2.86
Au  0.2500  0.2500  0.2500 [4 per cell]  12 Ag 3.33, 4 Ac 3.48

[8]
This record from Alexandria via LeMat-Bulk describes a geometry-optimized LiTl2Ag2F6 structure. The functional is PBE.

Results
Uncorrected formation energy   -1.62 eV per atom

Unit cell a=10.6825 b=6.0585 c=6.3830 alpha=90.00 beta=118.67 gamma=90.00
Last column: nearest neighbours and their distance in Å.
Space group C2/m (No. 12)
One atom of each set of equivalent atoms:
Li  0.0000  0.0000  0.0000 [2 per cell]  6 F 2.01-2.16
Tl  0.2493  0.0000  0.8518 [4 per cell]  5 F 2.47-2.62
Ag  0.1090  0.5000  0.4257 [4 per cell]  3 F 2.17-2.29
F  0.0567  0.2478  0.8175 [8 per cell]  1 Li 2.16, 1 Ag 2.29
F  0.2126  0.0000  0.2141 [4 per cell]  1 Li 2.01, 1 Ag 2.17

Number 1: magnetization 1.9 μB per cell. Number 2: magnetization 0.0 μB per cell. Number 3: magnetization 0.0 μB per cell. Number 4: magnetization 0.0 μB per cell. Number 5: magnetization 20.7 μB per cell. Number 6: magnetization 0.0 μB per cell. Number 7: magnetization 0.0 μB per cell. Number 8: magnetization 0.0 μB per cell.